No. 1
Entry from Alexandria: BaPuRu after structural relaxation (PBE).

CIF file:
```
data_BaPuRu
_cell_length_a 4.416
_cell_length_b 4.416
_cell_length_c 12.533
_cell_angle_alpha 99.79
_cell_angle_beta 99.79
_cell_angle_gamma 58.93
_symmetry_space_group_name_H-M 'P 1'
_symmetry_Int_Tables_number 1
loop_
_symmetry_equiv_pos_as_xyz
'x,y,z'
loop_
_atom_site_label
_atom_site_fract_x
_atom_site_fract_y
_atom_site_fract_z
_atom_site_occupancy
Ba1 0.105 0.105 0.331 1
Ba2 0.895 0.895 0.669 1
Pu1 0.308 0.308 0.908 1
Pu2 0.692 0.692 0.092 1
Ru1 0.382 0.382 0.146 1
Ru2 0.618 0.618 0.854 1
```

Values from the calculation:
Mass density   7.80 Mg/m³
DFT formation energy   104 meV per atom
Magnetic moment   1.574 μB/atom
SG   No. 12

***

No. 2
Entry from Alexandria: BaPuS2 after structural relaxation (PBE).

CIF file:
```
data_BaPuS2
_cell_length_a 4.060
_cell_length_b 5.369
_cell_length_c 10.386
_cell_angle_alpha 90.00
_cell_angle_beta 90.00
_cell_angle_gamma 90.00
_symmetry_space_group_name_H-M 'P 1'
_symmetry_Int_Tables_number 1
loop_
_symmetry_equiv_pos_as_xyz
'x,y,z'
loop_
_atom_site_label
_atom_site_fract_x
_atom_site_fract_y
_atom_site_fract_z
_atom_site_occupancy
Ba1 0.250 0.250 0.132 1
Ba2 0.750 0.750 0.868 1
Pu1 0.250 0.750 0.392 1
Pu2 0.750 0.250 0.608 1
S1 0.250 0.250 0.429 1
S2 0.250 0.250 0.822 1
S3 0.750 0.750 0.178 1
S4 0.750 0.750 0.571 1
```

Values from the calculation:
Mass density   6.54 Mg/m³
Magnetic moment   1.485 μB/atom
Formation energy without anion corrections   -1.67 eV per atom
E above lowest polymorph   15.9 kJ per mole of atoms
SG   No. 59

***

No. 3
Entry from Alexandria: Ba2Pu3S8 after structural relaxation (PBE).

CIF file:
```
data_Ba2Pu3S8
_cell_length_a 8.363
_cell_length_b 8.363
_cell_length_c 14.504
_cell_angle_alpha 90.00
_cell_angle_beta 90.00
_cell_angle_gamma 120.00
_symmetry_space_group_name_H-M 'P 1'
_symmetry_Int_Tables_number 1
loop_
_symmetry_equiv_pos_as_xyz
'x,y,z'
loop_
_atom_site_label
_atom_site_fract_x
_atom_site_fract_y
_atom_site_fract_z
_atom_site_occupancy
Ba1 0.333 0.667 0.000 1
Ba2 0.333 0.667 0.295 1
Ba3 0.667 0.333 0.500 1
Ba4 0.667 0.333 0.795 1
Pu1 0.168 0.335 0.725 1
Pu2 0.168 0.832 0.725 1
Pu3 0.335 0.168 0.225 1
Pu4 0.665 0.832 0.725 1
Pu5 0.832 0.168 0.225 1
Pu6 0.832 0.665 0.225 1
S1 0.000 0.000 0.313 1
S2 0.000 0.000 0.813 1
S3 0.065 0.532 0.831 1
S4 0.166 0.332 0.144 1
S5 0.166 0.834 0.144 1
S6 0.332 0.166 0.644 1
S7 0.333 0.667 0.632 1
S8 0.468 0.532 0.831 1
S9 0.468 0.935 0.831 1
S10 0.532 0.065 0.331 1
S11 0.532 0.468 0.331 1
S12 0.667 0.333 0.132 1
S13 0.668 0.834 0.144 1
S14 0.834 0.166 0.644 1
S15 0.834 0.668 0.644 1
S16 0.935 0.468 0.331 1
```

Values from the calculation:
Mass density   4.78 Mg/m³
Magnetic moment   0.923 μB/atom
Formation energy without anion corrections   -1.58 eV per atom
SG   No. 186

***

No. 4
Entry from Alexandria: Ba3PuS5 after structural relaxation (PBE).

CIF file:
```
data_Ba3PuS5
_cell_length_a 9.690
_cell_length_b 9.690
_cell_length_c 9.690
_cell_angle_alpha 127.48
_cell_angle_beta 127.48
_cell_angle_gamma 77.46
_symmetry_space_group_name_H-M 'P 1'
_symmetry_Int_Tables_number 1
loop_
_symmetry_equiv_pos_as_xyz
'x,y,z'
loop_
_atom_site_label
_atom_site_fract_x
_atom_site_fract_y
_atom_site_fract_z
_atom_site_occupancy
Ba1 0.161 0.661 0.823 1
Ba2 0.250 0.250 0.000 1
Ba3 0.339 0.161 0.500 1
Ba4 0.661 0.839 0.500 1
Ba5 0.750 0.750 0.000 1
Ba6 0.839 0.339 0.177 1
Pu1 0.250 0.750 0.500 1
Pu2 0.750 0.250 0.500 1
S1 0.000 0.000 0.000 1
S2 0.017 0.195 0.500 1
S3 0.195 0.695 0.178 1
S4 0.305 0.483 0.500 1
S5 0.483 0.983 0.178 1
S6 0.500 0.500 0.000 1
S7 0.517 0.017 0.822 1
S8 0.695 0.517 0.500 1
S9 0.805 0.305 0.822 1
S10 0.983 0.805 0.500 1
```

Values from the calculation:
Mass density   4.88 Mg/m³
Magnetic moment   0.440 μB/atom
Formation energy without anion corrections   -1.67 eV per atom
SG   No. 140